A relaxed Mg14SiC crystal. Source: Alexandria, functional GGA-PBE.

Cell lengths 6.2608, 6.2608, 9.6498 Å; angles 90.00, 90.00, 120.00 degrees
Last column: nearest neighbours and their distance in Å.
Fractional positions:
Mg (0.0040, 0.5020, 0.0000)  10 Mg 3.01-3.17, 2 Si 3.13
Mg (0.9941, 0.4970, 0.5000)  10 Mg 2.97-3.19, 2 C 3.13
Mg (0.4980, 0.9960, 0.0000)  10 Mg 3.01-3.17, 2 Si 3.13
Mg (0.5030, 0.0059, 0.5000)  10 Mg 2.97-3.19, 2 C 3.13
Mg (0.4980, 0.5020, 0.0000)  10 Mg 3.01-3.17, 2 Si 3.13
Mg (0.5030, 0.4970, 0.5000)  10 Mg 2.97-3.19, 2 C 3.13
Mg (0.1595, 0.8405, 0.2603)  1 C 2.89, 8 Mg 2.97-3.13, 1 Si 3.05
Mg (0.1595, 0.8405, 0.7397)  1 C 2.89, 8 Mg 2.97-3.13, 1 Si 3.05
Mg (0.1595, 0.3190, 0.2603)  1 C 2.89, 8 Mg 2.97-3.13, 1 Si 3.05
Mg (0.1595, 0.3190, 0.7397)  1 C 2.89, 8 Mg 2.97-3.13, 1 Si 3.05
Mg (0.6810, 0.8405, 0.2603)  1 C 2.89, 8 Mg 2.97-3.13, 1 Si 3.05
Mg (0.6810, 0.8405, 0.7397)  1 C 2.89, 8 Mg 2.97-3.13, 1 Si 3.05
Mg (0.6667, 0.3333, 0.2478)  12 Mg 3.01-3.13
Mg (0.6667, 0.3333, 0.7522)  12 Mg 3.01-3.13
Si (0.0000, 0.0000, 0.0000)  12 Mg 3.05-3.13
C (0.0000, 0.0000, 0.5000)  12 Mg 2.89-3.13

Output
N(E_F) ... 0.407 states/eV/atom
Electronic total energy ... -32.2 eV per cell
Raw formation energy ... 0.30 eV per atom